Entry from Alexandria via LeMat-Bulk: a geometry-optimized RbLi2CeBr6 structure (GGA-PBE).

Unit cell a=7.137 b=7.138 c=9.290 alpha=90.00 beta=67.45 gamma=60.01
Space group P-1 (No. 2)
Inequivalent atoms, fractional coordinates:
Rb 0.000 0.000 0.000 (multiplicity 1)
Li 0.342 0.829 0.487 (multiplicity 2)
Ce 0.000 0.500 0.500 (multiplicity 1)
Br 0.125 0.783 0.312 (multiplicity 2)
Br 0.220 0.562 0.688 (multiplicity 2)
Br 0.471 0.092 0.312 (multiplicity 2)

M_tot: 1.00 μB per cell
DOS(E_F): 0.859 states/eV/atom
calculated total energy: -3.771 eV/atom
E_form (uncorrected): -16.94 eV per formula unit

=====

Entry from Alexandria via LeMat-Bulk: a geometry-optimized RbLi4Ce3Br12 structure (GGA-PBE).

Unit cell a=15.7780 b=15.7780 c=10.3205 alpha=90.00 beta=90.00 gamma=120.00
Space group R32 (No. 155, hexagonal axes)
Inequivalent atoms, fractional coordinates:
Rb 0.0000 0.0000 0.0000 (multiplicity 3)
Li 0.0000 0.0000 0.5000 (multiplicity 3)
Li 0.0000 0.4186 0.5000 (multiplicity 9)
Ce 0.0000 0.5750 0.0000 (multiplicity 9)
Br 0.0000 0.5781 0.5000 (multiplicity 9)
Br 0.0000 0.8461 0.5000 (multiplicity 9)
Br 0.0609 0.2287 0.1728 (multiplicity 18)

M_tot: 15.00 μB per cell
DOS(E_F): 0.911 states/eV/atom
calculated total energy: -3.904 eV/atom
E_form (uncorrected): -31.58 eV per formula unit

=====

Entry from Alexandria via LeMat-Bulk: a geometry-optimized LiCeSnBr6 structure (GGA-PBE).

Unit cell a=7.2179 b=7.2179 c=13.2374 alpha=90.00 beta=90.00 gamma=120.00
Space group P-31c (No. 163)
Inequivalent atoms, fractional coordinates:
Li 0.3333 0.6667 0.2500 (multiplicity 2)
Ce 0.3333 0.6667 0.7500 (multiplicity 2)
Sn 0.0000 0.0000 0.0000 (multiplicity 2)
Br 0.0147 0.3537 0.1282 (multiplicity 12)

M_tot: 2.00 μB per cell
DOS(E_F): 0.900 states/eV/atom
calculated total energy: -3.805 eV/atom
E_form (uncorrected): -12.35 eV per formula unit

=====

Entry from Alexandria via LeMat-Bulk: a geometry-optimized LiCe2TlBr8 structure (GGA-PBE).

Unit cell a=6.955 b=9.034 c=7.222 alpha=90.00 beta=95.83 gamma=90.00
Space group P2/m (No. 10)
Inequivalent atoms, fractional coordinates:
Li 0.000 0.000 0.000 (multiplicity 1)
Ce 0.500 0.242 0.500 (multiplicity 2)
Tl 0.000 0.500 0.000 (multiplicity 1)
Br 0.234 0.213 0.170 (multiplicity 4)
Br 0.279 0.000 0.656 (multiplicity 2)
Br 0.289 0.500 0.642 (multiplicity 2)

M_tot: 2.00 μB per cell
DOS(E_F): 1.333 states/eV/atom
calculated total energy: -4.032 eV/atom
E_form (uncorrected): -18.85 eV per formula unit

=====

Entry from Alexandria via LeMat-Bulk: a geometry-optimized Li2CeTlBr6 structure (GGA-PBE).

Unit cell a=7.3986 b=7.3986 c=19.9412 alpha=90.00 beta=90.00 gamma=120.00
Space group R3 (No. 146, hexagonal axes)
Inequivalent atoms, fractional coordinates:
Li 0.0000 0.0000 0.0000 (multiplicity 3)
Li 0.0000 0.0000 0.4922 (multiplicity 3)
Ce 0.0000 0.0000 0.8016 (multiplicity 3)
Tl 0.0000 0.0000 0.2824 (multiplicity 3)
Br 0.0019 0.3599 0.7377 (multiplicity 9)
Br 0.0897 0.7499 0.5667 (multiplicity 9)

M_tot: 3.00 μB per cell
DOS(E_F): 0.812 states/eV/atom
calculated total energy: -3.699 eV/atom
E_form (uncorrected): -14.83 eV per formula unit

=====

Entry from Alexandria via LeMat-Bulk: a geometry-optimized Li2CeTlBr8 structure (GGA-PBE).

Unit cell a=5.841 b=9.650 c=7.034 alpha=90.00 beta=91.18 gamma=90.00
Space group P2/m (No. 10)
Inequivalent atoms, fractional coordinates:
Li 0.000 0.204 0.000 (multiplicity 2)
Ce 0.500 0.000 0.500 (multiplicity 1)
Tl 0.500 0.500 0.500 (multiplicity 1)
Br 0.245 0.000 0.838 (multiplicity 2)
Br 0.245 0.217 0.331 (multiplicity 4)
Br 0.248 0.500 0.978 (multiplicity 2)

M_tot: 0.25 μB per cell
DOS(E_F): 0.158 states/eV/atom
calculated total energy: -3.371 eV/atom
E_form (uncorrected): -14.94 eV per formula unit

=====

Number 3 is which compound? LiCeSnBr6

=====

Which value of DOS(E_F) does entry 3 give? 0.900 states/eV/atom

=====

Among the records above, which one has the lowest M_tot? Li2CeTlBr8

=====

E_form (uncorrected) of number 1 (RbLi2CeBr6)? -16.94 eV per formula unit